The following is a DFT calculation (PBE with a Hubbard U) of an optimized crystal structure of LiVPHO5.

Output
Excess energy over the best structure of this formula in the dataset ... 81 meV per atom
N(E_F) ... 0.000 states/eV per atom

Structure (CIF):
```
data_LiVPHO5
_cell_length_a 5.443
_cell_length_b 6.227
_cell_length_c 6.578
_cell_angle_alpha 104.22
_cell_angle_beta 103.36
_cell_angle_gamma 104.16
_symmetry_space_group_name_H-M 'P -1'
_symmetry_Int_Tables_number 2
_symmetry_space_group_name_Hall '-P 1'
loop_
_atom_site_label
_atom_site_fract_x
_atom_site_fract_y
_atom_site_fract_z
_atom_site_occupancy
Li1 0.000 0.000 0.000 1
Li2 0.000 0.000 0.500 1
V1 0.243 0.618 0.229 1
P1 0.346 0.550 0.731 1
H1 0.339 0.054 0.334 1
O1 0.167 0.585 0.886 1
O2 0.180 0.917 0.258 1
O3 0.258 0.650 0.545 1
O4 0.332 0.289 0.654 1
O5 0.351 0.324 0.141 1
```